{"formula": "Na2PmSn", "functional": "PBE", "state": "relaxed", "dos_ef_per_ev_cell": 2.71, "delta_e_f_ev_per_atom": -0.032, "vol_a3_per_atom": 26.591, "space_group": "Fm-3m, No. 225", "cell": [[5.3188, 0.0000, 0.0000], [2.6594, 4.6062, 0.0000], [2.6594, 1.5354, 4.3414]], "species": ["Pm", "Na", "Na", "Sn"], "fractional_positions": [[0.5000, 0.5000, 0.5000], [0.7501, 0.7501, 0.7497], [0.2499, 0.2499, 0.2503], [0.0000, 0.0000, 0.0000]]}

***

{"formula": "NaPm5Sn5", "functional": "PBE", "state": "relaxed", "dos_ef_per_ev_cell": 9.18, "delta_e_f_ev_per_atom": -0.366, "vol_a3_per_atom": 30.791, "space_group": "C2/m, No. 12", "cell": [[-0.9062, 4.0654, 4.0038], [-8.3843, -1.6477, -4.3930], [0.8197, -4.6329, 4.8896]], "species": ["Sn", "Sn", "Sn", "Sn", "Sn", "Pm", "Pm", "Pm", "Pm", "Pm", "Na"], "fractional_positions": [[0.5000, 0.0000, 0.0000], [0.1588, 0.3177, 0.9203], [0.8412, 0.6823, 0.0797], [0.1598, 0.3196, 0.4133], [0.8402, 0.6804, 0.5867], [0.6722, 0.3445, 0.7079], [0.0000, 0.0000, 0.5000], [0.3278, 0.6555, 0.2921], [0.6764, 0.3527, 0.2109], [0.3236, 0.6473, 0.7891], [0.0000, 0.0000, 0.0000]]}

***

{"formula": "NaPm2Sn2", "functional": "PBE", "state": "relaxed", "dos_ef_per_ev_cell": 8.35, "delta_e_f_ev_per_atom": -0.551, "vol_a3_per_atom": 29.740, "space_group": "P4/mbm, No. 127", "cell": [[4.3939, 0.0000, 0.0000], [0.0000, 8.2271, 0.0000], [0.0000, 0.0000, 8.2271]], "species": ["Sn", "Sn", "Sn", "Sn", "Pm", "Pm", "Pm", "Pm", "Na", "Na"], "fractional_positions": [[0.0000, 0.3752, 0.8752], [0.0000, 0.8752, 0.6248], [0.0000, 0.6248, 0.1248], [0.0000, 0.1248, 0.3752], [0.5000, 0.3232, 0.1768], [0.5000, 0.1768, 0.6768], [0.5000, 0.8232, 0.3232], [0.5000, 0.6768, 0.8232], [0.0000, 0.0000, 0.0000], [0.0000, 0.5000, 0.5000]]}

***

{"formula": "NaPmSn3", "functional": "PBE", "state": "relaxed", "dos_ef_per_ev_cell": 5.06, "delta_e_f_ev_per_atom": -0.341, "vol_a3_per_atom": 27.794, "e_above_lowest_polymorph_ev_per_fu": 0.13, "space_group": "Cmcm, No. 63", "cell": [[-3.3498, 2.8973, -2.3502], [-1.1461, -2.7536, -1.7610], [-10.0927, -1.5771, 12.4412]], "species": ["Sn", "Sn", "Sn", "Sn", "Sn", "Sn", "Pm", "Pm", "Na", "Na"], "fractional_positions": [[0.2500, 0.6776, 0.3551], [0.2500, 0.3755, 0.7510], [0.7500, 0.5274, 0.0549], [0.7500, 0.6245, 0.2490], [0.2500, 0.4726, 0.9451], [0.7500, 0.3224, 0.6449], [0.7500, 0.9210, 0.8420], [0.2500, 0.0790, 0.1580], [0.7500, 0.2183, 0.4365], [0.2500, 0.7817, 0.5635]]}

***

{"formula": "NaPm5Sn6", "functional": "PBE", "state": "relaxed", "dos_ef_per_ev_cell": 7.00, "delta_e_f_ev_per_atom": -0.609, "vol_a3_per_atom": 27.833, "space_group": "Immm, No. 71", "cell": [[-1.8668, -4.5186, 0.1410], [5.7446, -7.7815, -3.4841], [5.7494, -4.8636, 5.1745]], "species": ["Na", "Sn", "Sn", "Sn", "Sn", "Sn", "Sn", "Pm", "Pm", "Pm", "Pm", "Pm"], "fractional_positions": [[0.0000, 0.0000, 0.0000], [0.7486, 0.4209, 0.6609], [0.2514, 0.5791, 0.3391], [0.7486, 0.0818, 0.3391], [0.2514, 0.9182, 0.6609], [0.2481, 0.2514, 0.0000], [0.7519, 0.7486, 0.0000], [0.0000, 0.6667, 0.6666], [0.5000, 0.5000, 0.0000], [0.5000, 0.8460, 0.3080], [0.5000, 0.1540, 0.6920], [0.0000, 0.3333, 0.3334]]}

***

{"formula": "NaPm4Sn2", "functional": "PBE", "state": "relaxed", "dos_ef_per_ev_cell": 13.91, "delta_e_f_ev_per_atom": -0.291, "vol_a3_per_atom": 30.941, "space_group": "P2_1/m, No. 11", "cell": [[-6.9770, 3.8162, -0.1735], [-2.5619, -4.8462, -3.5726], [1.3365, -5.9118, 7.0611]], "species": ["Pm", "Pm", "Pm", "Pm", "Pm", "Pm", "Pm", "Pm", "Sn", "Sn", "Sn", "Sn", "Na", "Na"], "fractional_positions": [[0.5513, 0.0092, 0.2205], [0.4487, 0.5092, 0.7795], [0.4487, 0.9908, 0.7795], [0.9765, 0.7500, 0.4657], [0.0235, 0.2500, 0.5343], [0.9418, 0.2500, 0.1235], [0.0582, 0.7500, 0.8765], [0.5513, 0.4908, 0.2205], [0.6568, 0.7500, 0.5678], [0.3432, 0.2500, 0.4322], [0.8006, 0.7500, 0.0723], [0.1994, 0.2500, 0.9277], [0.2412, 0.7500, 0.3049], [0.7588, 0.2500, 0.6951]]}

***

Computed magnetic moment (μB per formula unit) in order:
0.00; 0.59; 0.28; 0.00; 0.00; 0.00